1.
VASP calculation (PBE) on a geometry-optimized RbGePIr2 structure.

abc: 4.029 4.029 13.995
angles: 90.00 90.00 90.00
Space group I4mm (No. 107)
Asymmetric unit:
Rb 0.000 0.000 0.000 (multiplicity 2)
Ge 0.000 0.000 0.346 (multiplicity 2)
P 0.000 0.000 0.655 (multiplicity 2)
Ir 0.000 0.500 0.239 (multiplicity 4)

Summary:
Total magnetization   0.0000 μB/atom
E_tot   -6.263 eV per atom


2.
VASP calculation (PBE) on a geometry-optimized Si17Ge13PIr structure.

abc: 5.567 3.929 31.411
angles: 90.00 90.57 90.00
Space group Pm (No. 6)
Asymmetric unit:
Si 0.000 0.000 0.000 (multiplicity 1)
Si 0.000 0.000 0.748 (multiplicity 1)
Si 0.002 0.000 0.250 (multiplicity 1)
Si 0.240 0.000 0.312 (multiplicity 1)
Si 0.246 0.000 0.688 (multiplicity 1)
Si 0.247 0.000 0.188 (multiplicity 1)
Si 0.249 0.000 0.940 (multiplicity 1)
Si 0.259 0.000 0.440 (multiplicity 1)
Si 0.264 0.000 0.568 (multiplicity 1)
Si 0.487 0.500 0.685 (multiplicity 1)
Si 0.488 0.500 0.938 (multiplicity 1)
Si 0.490 0.500 0.187 (multiplicity 1)
Si 0.501 0.500 0.442 (multiplicity 1)
Si 0.715 0.500 0.621 (multiplicity 1)
Si 0.738 0.500 0.878 (multiplicity 1)
Si 0.748 0.500 0.128 (multiplicity 1)
Si 0.989 0.000 0.128 (multiplicity 1)
Ge 0.004 0.000 0.503 (multiplicity 1)
Ge 0.008 0.000 0.377 (multiplicity 1)
Ge 0.236 0.000 0.065 (multiplicity 1)
Ge 0.238 0.000 0.813 (multiplicity 1)
Ge 0.490 0.500 0.313 (multiplicity 1)
Ge 0.500 0.500 0.065 (multiplicity 1)
Ge 0.500 0.500 0.813 (multiplicity 1)
Ge 0.744 0.500 0.379 (multiplicity 1)
Ge 0.749 0.500 0.000 (multiplicity 1)
Ge 0.749 0.500 0.748 (multiplicity 1)
Ge 0.750 0.500 0.249 (multiplicity 1)
Ge 0.975 0.000 0.626 (multiplicity 1)
Ge 0.988 0.000 0.878 (multiplicity 1)
P 0.739 0.500 0.503 (multiplicity 1)
Ir 0.479 0.500 0.560 (multiplicity 1)

Summary:
Total magnetization   0.0006 μB/atom
E_tot   -5.193 eV per atom


3.
VASP calculation (PBE) on a geometry-optimized Pa2GeIr structure.

abc: 5.880 3.983 8.060
angles: 90.00 109.20 90.00
Space group P2_1/m (No. 11)
Asymmetric unit:
Pa 0.189 0.250 0.407 (multiplicity 2)
Pa 0.279 0.750 0.066 (multiplicity 2)
Ge 0.369 0.750 0.699 (multiplicity 2)
Ir 0.122 0.250 0.802 (multiplicity 2)

Summary:
Total magnetization   0.0114 μB/atom
E_tot   -8.801 eV per atom